A plane-wave DFT calculation with meta-GGA SCAN was carried out for a crystal of Ce3Bi4Pd3 relaxed with PBEsol.

Results
- VASP energy (eV/atom) = -55.53

a = 8.558 Å, b = 8.558 Å, c = 8.558 Å
α = 109.47°, β = 109.47°, γ = 109.47°
Atoms (fractional coordinates):
Ce 0.125 0.750 0.875
Ce 0.250 0.625 0.375
Ce 0.375 0.250 0.625
Ce 0.625 0.375 0.250
Ce 0.750 0.875 0.125
Ce 0.875 0.125 0.750
Bi 0.000 0.327 0.500
Bi 0.000 0.827 0.500
Bi 0.173 0.173 0.173
Bi 0.327 0.500 0.000
Bi 0.500 0.000 0.327
Bi 0.500 0.000 0.827
Bi 0.673 0.673 0.673
Bi 0.827 0.500 0.000
Pd 0.125 0.875 0.250
Pd 0.250 0.125 0.875
Pd 0.375 0.625 0.750
Pd 0.625 0.750 0.375
Pd 0.750 0.375 0.625
Pd 0.875 0.250 0.125



A plane-wave DFT calculation with meta-GGA SCAN was carried out for a crystal of LaYSc2 relaxed with PBEsol.

Results
- VASP energy (eV/atom) = -24.77

a = 5.916 Å, b = 5.916 Å, c = 5.779 Å
α = 100.40°, β = 100.40°, γ = 33.59°
Atoms (fractional coordinates):
La 0.000 0.000 0.000
Y 0.243 0.243 0.741
Sc 0.490 0.490 0.492
Sc 0.749 0.749 0.247